The following is a PBE-GGA calculation of crystalline NaLi3Pb at its relaxed geometry, from Alexandria.

Values from the calculation:
Volume, Å³ per atom: 29.72
Formation energy, eV/atom: -0.051
M_tot, μB per atom: 0.00
DOS(E_F), states/eV per atom: 0.11
Polymorph energy (0 for the lowest one), meV/atom: 165

a = 5.2965 Å, b = 5.2965 Å, c = 5.2965 Å
α = 90.00°, β = 90.00°, γ = 90.00°
Space group Pm-3m (No. 221)
Symmetry-distinct sites (fractional):
1 Na 0.0000 0.0000 0.0000 (multiplicity 1)
2 Li 0.0000 0.5000 0.5000 (multiplicity 3)
3 Pb 0.5000 0.5000 0.5000 (multiplicity 1)

The following is a PBE-GGA calculation of crystalline Ac12Co5Se3 at its relaxed geometry, from Alexandria.

Values from the calculation:
Volume, Å³ per atom: 34.60
Electronic total energy, eV/atom: -5.059
M_tot, μB per atom: 0.00
DOS(E_F), states/eV per atom: 0.85

a = 17.6894 Å, b = 17.6894 Å, c = 17.6894 Å
α = 90.00°, β = 90.00°, γ = 90.00°
Space group Ia-3d (No. 230)
Symmetry-distinct sites (fractional):
1 Ac 0.0284 0.0553 0.6496 (multiplicity 96)
2 Co 0.0000 0.0000 0.0000 (multiplicity 16)
3 Co 0.0000 0.2500 0.3750 (multiplicity 24)
4 Se 0.0000 0.2500 0.1250 (multiplicity 24)

The following is a PBE-GGA calculation of crystalline DyTm4Cd at its relaxed geometry, from Alexandria.

Values from the calculation:
Volume, Å³ per atom: 28.55
Formation energy, eV/atom: -0.015
M_tot, μB per atom: 0.00
DOS(E_F), states/eV per atom: 1.56
Polymorph energy (0 for the lowest one), meV/atom: 71

a = 10.3240 Å, b = 5.9998 Å, c = 11.5728 Å
α = 90.00°, β = 107.07°, γ = 90.00°
Space group C2/c (No. 15)
Symmetry-distinct sites (fractional):
1 Dy 0.2500 0.2500 0.0000 (multiplicity 4)
2 Tm 0.0810 0.2453 0.5013 (multiplicity 8)
3 Tm 0.1661 0.4167 0.2505 (multiplicity 8)
4 Cd 0.0000 0.0818 0.7500 (multiplicity 4)

The following is a PBE-GGA calculation of crystalline TiTlAgAs2 at its relaxed geometry, from Alexandria.

Values from the calculation:
Volume, Å³ per atom: 26.39
Formation energy, eV/atom: 0.916
M_tot, μB per atom: 0.05
DOS(E_F), states/eV per atom: 1.17

a = 4.9876 Å, b = 4.9876 Å, c = 5.3047 Å
α = 90.00°, β = 90.00°, γ = 90.00°
Space group P4/mmm (No. 123)
Symmetry-distinct sites (fractional):
1 Ti 0.0000 0.0000 0.0000 (multiplicity 1)
2 Tl 0.5000 0.5000 0.0000 (multiplicity 1)
3 Ag 0.5000 0.5000 0.5000 (multiplicity 1)
4 As 0.0000 0.5000 0.5000 (multiplicity 2)

The following is a PBE-GGA calculation of crystalline SrCrRe2 at its relaxed geometry, from Alexandria.

Values from the calculation:
Volume, Å³ per atom: 17.64
Formation energy, eV/atom: 0.916
M_tot, μB per atom: 0.33
DOS(E_F), states/eV per atom: 0.95
Polymorph energy (0 for the lowest one), meV/atom: 293

a = 2.8428 Å, b = 4.9397 Å, c = 10.0500 Å
α = 90.00°, β = 90.00°, γ = 90.00°
Space group Immm (No. 71)
Symmetry-distinct sites (fractional):
1 Sr 0.0000 0.0000 0.0000 (multiplicity 2)
2 Cr 0.0000 0.0000 0.5000 (multiplicity 2)
3 Re 0.0000 0.5000 0.2130 (multiplicity 4)

The following is a PBE-GGA calculation of crystalline TbYHo at its relaxed geometry, from Alexandria.

Values from the calculation:
Volume, Å³ per atom: 31.70
Formation energy, eV/atom: 0.064
M_tot, μB per atom: 0.00
DOS(E_F), states/eV per atom: 1.99
Polymorph energy (0 for the lowest one), meV/atom: 43

a = 5.5941 Å, b = 5.5941 Å, c = 3.5090 Å
α = 90.00°, β = 90.00°, γ = 120.00°
Space group P-6m2 (No. 187)
Symmetry-distinct sites (fractional):
1 Tb 0.0000 0.0000 0.0000 (multiplicity 1)
2 Y 0.6667 0.3333 0.5000 (multiplicity 1)
3 Ho 0.3333 0.6667 0.0000 (multiplicity 1)

The following is a PBE-GGA calculation of crystalline LiAc2C at its relaxed geometry, from Alexandria.

Values from the calculation:
Volume, Å³ per atom: 31.01
Formation energy, eV/atom: 0.123
M_tot, μB per atom: 0.00
DOS(E_F), states/eV per atom: 0.91

a = 3.8661 Å, b = 3.8661 Å, c = 28.7471 Å
α = 90.00°, β = 90.00°, γ = 120.00°
Space group R-3m (No. 166, hexagonal axes)
Symmetry-distinct sites (fractional):
1 Li 0.0000 0.0000 0.0000 (multiplicity 3)
2 Ac 0.0000 0.0000 0.2203 (multiplicity 6)
3 C 0.0000 0.0000 0.5000 (multiplicity 3)

The following is a PBE-GGA calculation of crystalline CsZr2GeO at its relaxed geometry, from Alexandria.

Values from the calculation:
Volume, Å³ per atom: 25.11
M_tot, μB per atom: 0.00
DOS(E_F), states/eV per atom: 1.42
Polymorph energy (0 for the lowest one), meV/atom: 1737

a = 5.4117 Å, b = 5.4117 Å, c = 4.2878 Å
α = 90.00°, β = 90.00°, γ = 90.00°
Space group P4/mmm (No. 123)
Symmetry-distinct sites (fractional):
1 Cs 0.0000 0.0000 0.0000 (multiplicity 1)
2 Zr 0.0000 0.5000 0.0000 (multiplicity 2)
3 Ge 0.5000 0.5000 0.5000 (multiplicity 1)
4 O 0.0000 0.0000 0.5000 (multiplicity 1)

The following is a PBE-GGA calculation of crystalline Zr2TiHgN at its relaxed geometry, from Alexandria.

Values from the calculation:
Volume, Å³ per atom: 17.18
M_tot, μB per atom: 0.11
DOS(E_F), states/eV per atom: 0.74
Polymorph energy (0 for the lowest one), meV/atom: 0

a = 4.5538 Å, b = 4.5538 Å, c = 4.1434 Å
α = 90.00°, β = 90.00°, γ = 90.00°
Space group P4/mmm (No. 123)
Symmetry-distinct sites (fractional):
1 Zr 0.0000 0.5000 0.0000 (multiplicity 2)
2 Ti 0.0000 0.0000 0.5000 (multiplicity 1)
3 Hg 0.5000 0.5000 0.5000 (multiplicity 1)
4 N 0.0000 0.0000 0.0000 (multiplicity 1)

The following is a PBE-GGA calculation of crystalline CaSmMgNbO6 at its relaxed geometry, from Alexandria.

Values from the calculation:
Volume, Å³ per atom: 12.40
Electronic total energy, eV/atom: -7.807
M_tot, μB per atom: 0.00
DOS(E_F), states/eV per atom: 0.00

a = 5.4949 Å, b = 5.7244 Å, c = 9.5884 Å
α = 90.00°, β = 124.66°, γ = 90.00°
Space group Pc (No. 7)
Symmetry-distinct sites (fractional):
1 Ca 0.0000 0.1988 0.0000 (multiplicity 2)
2 Sm 0.5332 0.3137 0.5041 (multiplicity 2)
3 Mg 0.7656 0.2463 0.2514 (multiplicity 2)
4 Nb 0.2650 0.2425 0.7518 (multiplicity 2)
5 O 0.0098 0.4645 0.1946 (multiplicity 2)
6 O 0.1278 0.2120 0.5062 (multiplicity 2)
7 O 0.4103 0.2858 0.9956 (multiplicity 2)
8 O 0.5079 0.0493 0.3084 (multiplicity 2)
9 O 0.6045 0.4469 0.7999 (multiplicity 2)
10 O 0.9103 0.0576 0.6975 (multiplicity 2)

The following is a PBE-GGA calculation of crystalline ScIn2P at its relaxed geometry, from Alexandria.

Values from the calculation:
Volume, Å³ per atom: 23.75
Formation energy, eV/atom: -0.498
M_tot, μB per atom: 0.00
DOS(E_F), states/eV per atom: 0.18

a = 3.6553 Å, b = 3.6551 Å, c = 7.1100 Å
α = 90.00°, β = 90.13°, γ = 90.00°
Space group Pm (No. 6)
Symmetry-distinct sites (fractional):
1 Sc 0.0000 0.0000 0.0000 (multiplicity 1)
2 In 0.4984 0.5000 0.6822 (multiplicity 1)
3 In 0.9968 0.0000 0.4304 (multiplicity 1)
4 P 0.5003 0.5000 0.0558 (multiplicity 1)

The following is a PBE-GGA calculation of crystalline Cs2Hg at its relaxed geometry, from Alexandria.

Values from the calculation:
Volume, Å³ per atom: 67.35
Formation energy, eV/atom: -0.140
M_tot, μB per atom: 0.00
DOS(E_F), states/eV per atom: 0.94
Polymorph energy (0 for the lowest one), meV/atom: 12

a = 6.8301 Å, b = 6.8255 Å, c = 9.3102 Å
α = 90.00°, β = 111.41°, γ = 90.00°
Space group C2/m (No. 12)
Symmetry-distinct sites (fractional):
1 Cs 0.1291 0.0000 0.2584 (multiplicity 4)
2 Hg 0.0000 0.5000 0.0000 (multiplicity 2)